Compound: MgMoRh
Source: Alexandria
Functional: SCAN
Structure: PBEsol geometry

Lattice parameters (Å, degrees): 4.209 4.209 4.209 60.00 60.00 60.00
Each line ends with the local moment (μB).
Fractional positions:
Rh 0.500 0.500 0.500  0.28
Mg 0.750 0.750 0.750  0.04
Mo 0.000 0.000 0.000  2.61

Calculated values
SG: F-43m (216)
Energy relative to the elements, eV per atom: 1.0556
Total magnetization, μB/f.u.: 3.2
Total energy, eV per cell: -70.46